The following is a PBE+U calculation of a relaxed Li2ErMoO4 crystal, from Alexandria.

The structure in extended XYZ format:
```
8
Lattice="-3.066 0.876 -3.025 -0.125 -4.252 -1.106 -1.826 0.943 5.317" Properties=species:S:1:pos:R:3 pbc="T T T"
Li -1.773 -2.499 1.073
Li 0.000 0.000 0.000
Er -1.596 -1.688 -2.065
Mo -3.244 0.066 0.113
O -4.806 -0.275 1.598
O -1.681 0.406 -1.372
O -3.232 -2.045 -0.510
O -1.785 -0.389 1.696
```

Properties
E: -6.779 eV per atom
Space-group type: I-4m2, No. 119
D(E_F): 0.0 states/eV/f.u.